(1)
CdCoAg2 | GGA-PBE | optimized geometry

D(E_F)   1.085 states/eV/atom
Calculated total energy   -12.50 eV for the cell shown

Unit cell a=2.9551 b=4.7620 c=4.8158 alpha=90.00 beta=90.00 gamma=90.00
With the nearest neighbours (Å) after each atom.
Fractional coordinates of all 4 atoms:
Cd: 0.5000 0.0000 0.5000  4 Co 2.80, 4 Ag 2.83, 2 Cd 2.96
Ag: 0.0000 0.0000 0.0000  6 Ag 2.80-2.96, 4 Cd 2.83
Ag: 0.5000 0.5000 0.0000  6 Ag 2.80-2.96, 4 Co 2.83
Co: 0.0000 0.5000 0.5000  4 Cd 2.80, 4 Ag 2.83, 2 Co 2.96

***

(2)
TePd6S3 | GGA-PBE | optimized geometry

Formation energy without anion corrections   -0.2169 eV per atom
D(E_F)   0.505 states/eV/atom

Unit cell a=5.3950 b=8.2253 c=8.2253 alpha=101.32 beta=90.00 gamma=90.00
With the nearest neighbours (Å) after each atom.
Fractional coordinates of all 20 atoms:
Pd: 0.6893 0.5938 0.6993  4 S 2.37-2.51
Pd: 0.6053 0.2661 0.7339  1 S 2.34
Pd: 0.7515 0.5435 0.0289  2 S 2.37-2.44
Pd: 0.5519 0.0551 0.9449  2 S 2.38
Pd: 0.1893 0.4062 0.3007  4 S 2.37-2.51
Pd: 0.6893 0.3007 0.4062  4 S 2.37-2.51
Pd: 0.7515 0.9711 0.4565  2 S 2.37-2.44
Pd: 0.1053 0.7339 0.2661  1 S 2.34
Pd: 0.0519 0.9449 0.0551  2 S 2.38
Pd: 0.2515 0.0289 0.5435  2 S 2.37-2.44
Pd: 0.2515 0.4565 0.9711  2 S 2.37-2.44
Pd: 0.1893 0.6993 0.5938  4 S 2.37-2.51
S: 0.0303 0.6798 0.8767  5 Pd 2.37-2.51
S: 0.5303 0.8767 0.6798  5 Pd 2.37-2.51
S: 0.5303 0.3202 0.1233  5 Pd 2.37-2.51
S: 0.0303 0.1233 0.3202  5 Pd 2.37-2.51
S: 0.8554 0.5839 0.4161  5 Pd 2.34-2.48
S: 0.3554 0.4161 0.5839  5 Pd 2.34-2.48
Te: 0.5306 0.8405 0.1595  5 Pd 2.67-2.90
Te: 0.0306 0.1595 0.8405  5 Pd 2.67-2.90

***

(3)
TaAlRh2 | GGA-PBE | optimized geometry

D(E_F)   1.306 states/eV/atom
Calculated total energy   -31.33 eV for the cell shown

Unit cell a=4.4280 b=4.4280 c=4.4280 alpha=60.00 beta=60.00 gamma=60.00
With the nearest neighbours (Å) after each atom.
Fractional coordinates of all 4 atoms:
Al: 0.5000 0.5000 0.5000  4 Ta 2.71, 4 Rh 2.71
Rh: 0.2500 0.2500 0.2500  4 Al 2.71, 4 Rh 2.71
Rh: 0.0000 0.0000 0.0000  4 Rh 2.71, 4 Ta 2.71
Ta: 0.7500 0.7500 0.7500  4 Al 2.71, 4 Rh 2.71